[1]
DFT (PBE-GGA) results for PuNpTcIr after structural relaxation.

Summary:
Total energy (eV for the cell shown): -187.43
DFT formation energy (meV/atom): -90
Total moment (μB per cell): 29.51

a b c (Å): 6.785 6.785 6.785
angles (deg): 90.00 90.00 90.00
Space group F-43m (No. 216)
Unique sites:
Pu: 0.000 0.000 0.000 [4 per cell]
Np: 0.000 0.000 0.500 [4 per cell]
Tc: 0.250 0.250 0.750 [4 per cell]
Ir: 0.250 0.250 0.250 [4 per cell]



[2]
DFT (PBE-GGA) results for Rb2Np2IrS6 after structural relaxation.

Summary:
Total energy (eV for the cell shown): -146.42
ΔE_f (raw) (eV/atom): -1.070
Total moment (μB per cell): 14.00

a b c (Å): 6.634 11.200 8.324
angles (deg): 90.00 105.96 90.00
Space group C2/m (No. 12)
Unique sites:
Rb: 0.000 0.173 0.000 [4 per cell]
Np: 0.000 0.332 0.500 [4 per cell]
Ir: 0.000 0.000 0.500 [2 per cell]
S: 0.220 0.152 0.684 [8 per cell]
S: 0.239 0.000 0.318 [4 per cell]



[3]
DFT (PBE-GGA) results for Rb4Np3IrS8 after structural relaxation.

Summary:
Total energy (eV for the cell shown): -203.57
ΔE_f (raw) (eV/atom): -1.076
Total moment (μB per cell): 5.85

a b c (Å): 14.237 7.795 8.975
angles (deg): 90.00 120.11 90.00
Space group C2/m (No. 12)
Unique sites:
Rb: 0.000 0.000 0.000 [2 per cell]
Rb: 0.000 0.500 0.000 [2 per cell]
Rb: 0.250 0.250 0.000 [4 per cell]
Np: 0.000 0.000 0.500 [2 per cell]
Np: 0.250 0.250 0.500 [4 per cell]
Ir: 0.000 0.500 0.500 [2 per cell]
S: 0.021 0.276 0.326 [8 per cell]
S: 0.227 0.000 0.695 [4 per cell]
S: 0.240 0.000 0.288 [4 per cell]



[4]
DFT (PBE-GGA) results for Rb2Np2IrSe6 after structural relaxation.

Summary:
Total energy (eV for the cell shown): -135.84
ΔE_f (raw) (eV/atom): -0.939
Total moment (μB per cell): 14.00

a b c (Å): 6.980 11.746 8.654
angles (deg): 90.00 106.31 90.00
Space group C2/m (No. 12)
Unique sites:
Rb: 0.000 0.174 0.000 [4 per cell]
Np: 0.000 0.331 0.500 [4 per cell]
Ir: 0.000 0.000 0.500 [2 per cell]
Se: 0.222 0.151 0.688 [8 per cell]
Se: 0.237 0.000 0.315 [4 per cell]



[5]
DFT (PBE-GGA) results for Rb3Np3IrSe8 after structural relaxation.

Summary:
Total energy (eV for the cell shown): -280.74
ΔE_f (raw) (eV/atom): -1.008
Total moment (μB per cell): 33.01

a b c (Å): 8.1812 8.1812 24.7489
angles (deg): 90.00 90.00 120.00
Space group R-3m (No. 166, hexagonal axes)
Unique sites:
Rb: 0.0000 0.5000 0.0000 [9 per cell]
Np: 0.0000 0.5000 0.5000 [9 per cell]
Ir: 0.0000 0.0000 0.5000 [3 per cell]
Se: 0.0000 0.0000 0.2332 [6 per cell]
Se: 0.0296 0.5148 0.2270 [18 per cell]



[6]
DFT (PBE-GGA) results for NpReIr2 after structural relaxation.

Summary:
Total energy (eV for the cell shown): -130.00
DFT formation energy (meV/atom): -56
Relative energy among the computed polymorphs (meV per atom): 163
Total moment (μB per cell): 7.17

a b c (Å): 2.7602 2.7602 29.2198
angles (deg): 90.00 90.00 120.00
Space group R-3m (No. 166, hexagonal axes)
Unique sites:
Np: 0.0000 0.0000 0.0000 [3 per cell]
Re: 0.0000 0.0000 0.5000 [3 per cell]
Ir: 0.0000 0.0000 0.2424 [6 per cell]



[7]
DFT (PBE-GGA) results for NpReIr2 after structural relaxation.

Summary:
Total energy (eV for the cell shown): -43.99
DFT formation energy (meV/atom): -219
Relative energy among the computed polymorphs (meV per atom): 0
Total moment (μB per cell): 0.16

a b c (Å): 3.984 3.984 4.106
angles (deg): 90.00 90.00 90.00
Space group P4/mmm (No. 123)
Unique sites:
Np: 0.000 0.000 0.000 [1 per cell]
Re: 0.500 0.500 0.000 [1 per cell]
Ir: 0.000 0.500 0.500 [2 per cell]



[8]
DFT (PBE-GGA) results for NpReSi2Ir after structural relaxation.

Summary:
Total energy (eV for the cell shown): -94.98
ΔE_f (raw) (eV/atom): -0.479
Total moment (μB per cell): 7.07

a b c (Å): 4.160 4.160 9.801
angles (deg): 90.00 90.00 90.00
Space group I-4m2 (No. 119)
Unique sites:
Np: 0.000 0.000 0.000 [2 per cell]
Re: 0.000 0.500 0.250 [2 per cell]
Si: 0.000 0.000 0.377 [4 per cell]
Ir: 0.000 0.500 0.750 [2 per cell]